Record 1
K2Rb3SnBr6: relaxed, PBE.

Unit cell a=8.769 b=8.769 c=8.017 alpha=99.81 beta=99.81 gamma=123.72
Positions (direct):
K 0.168 0.832 0.000
K 0.832 0.168 0.000
Rb 0.000 0.000 0.500
Rb 0.337 0.663 0.500
Rb 0.663 0.337 0.500
Sn 0.500 0.500 0.000
Br 0.078 0.425 0.762
Br 0.254 0.254 0.215
Br 0.425 0.078 0.762
Br 0.575 0.922 0.238
Br 0.746 0.746 0.785
Br 0.922 0.575 0.238

Calculated values
As for the magnetic moment: 0.084 μB per atom. The calculation puts the mass density at 3.2 Mg/m³. The total energy is -3.01 eV/atom. As for the uncorrected formation energy: -1.42 eV/atom.

=====

Record 2
K2RbSrBr5: relaxed, PBE.

Unit cell a=9.539 b=9.539 c=9.539 alpha=144.55 beta=129.23 gamma=63.44
Positions (direct):
K 0.207 0.207 0.000
K 0.793 0.793 0.000
Rb 0.500 0.000 0.500
Sr 0.000 0.500 0.500
Br 0.000 0.000 0.000
Br 0.116 0.364 0.752
Br 0.388 0.636 0.752
Br 0.612 0.364 0.248
Br 0.884 0.636 0.248

Calculated values
As for the magnetic moment: 0.000 μB per atom. The calculation puts the mass density at 2.8 Mg/m³. The total energy is -3.28 eV/atom. As for the uncorrected formation energy: -1.82 eV/atom.

=====

Record 3
KRb2SrBr: relaxed, PBE.

Unit cell a=6.930 b=6.930 c=6.665 alpha=90.00 beta=90.00 gamma=90.00
Positions (direct):
K 0.000 0.000 0.000
Rb 0.000 0.500 0.500
Rb 0.500 0.000 0.500
Sr 0.500 0.500 0.000
Br 0.000 0.000 0.500

Calculated values
As for the magnetic moment: 0.001 μB per atom. The calculation puts the mass density at 2.0 Mg/m³. The total energy is -1.79 eV/atom. As for the uncorrected formation energy: -0.51 eV/atom.

=====

Record 4
KRb2SrBr5: relaxed, PBE.

Unit cell a=9.819 b=9.819 c=9.819 alpha=145.57 beta=130.61 gamma=61.59
Positions (direct):
K 0.000 0.000 0.000
Rb 0.294 0.794 0.500
Rb 0.706 0.206 0.500
Sr 0.500 0.500 0.000
Br 0.115 0.369 0.746
Br 0.377 0.631 0.746
Br 0.500 0.000 0.500
Br 0.623 0.369 0.254
Br 0.885 0.631 0.254

Calculated values
As for the magnetic moment: 0.000 μB per atom. The calculation puts the mass density at 2.9 Mg/m³. The total energy is -3.26 eV/atom. As for the uncorrected formation energy: -1.81 eV/atom.

=====

Record 5
KRbSr2Br: relaxed, PBE.

Unit cell a=6.467 b=6.467 c=7.080 alpha=90.00 beta=90.00 gamma=90.00
Positions (direct):
K 0.000 0.000 0.000
Rb 0.500 0.500 0.000
Sr 0.000 0.500 0.500
Sr 0.500 0.000 0.500
Br 0.000 0.000 0.500

Calculated values
As for the magnetic moment: 0.000 μB per atom. The calculation puts the mass density at 2.1 Mg/m³. The total energy is -1.85 eV/atom. As for the uncorrected formation energy: -0.43 eV/atom.

=====

Record 6
KRb2SrBr: relaxed, PBE.

Unit cell a=7.174 b=7.174 c=6.273 alpha=90.00 beta=90.00 gamma=90.00
Positions (direct):
K 0.000 0.000 0.000
Rb 0.000 0.500 0.500
Rb 0.500 0.000 0.500
Sr 0.500 0.500 0.000
Br 0.500 0.500 0.500

Calculated values
As for the magnetic moment: 0.000 μB per atom. The calculation puts the mass density at 1.9 Mg/m³. The total energy is -1.81 eV/atom. As for the uncorrected formation energy: -0.53 eV/atom.